No. 1
{"formula": "Sr2CrNi", "functional": "PBE-GGA", "state": "optimized geometry", "cell": [[5.237, 0.000, 0.000], [2.618, 4.535, 0.000], [2.618, 1.512, 4.276]], "species": ["Cr", "Ni", "Sr", "Sr"], "fractional_positions": [[0.500, 0.500, 0.500], [0.250, 0.250, 0.250], [0.000, 0.000, 0.000], [0.750, 0.750, 0.750]], "polymorph_energy_kj_per_mol_atoms": 36.64, "formation_energy_ev_per_atom": 0.69}

No. 2
{"formula": "CeTiGe2Rh5", "functional": "PBE-GGA", "state": "optimized geometry", "cell": [[-3.589, 0.078, -1.751], [1.744, -0.252, -3.585], [-0.488, -10.788, 0.521]], "species": ["Ce", "Ti", "Ge", "Ge", "Rh", "Rh", "Rh", "Rh", "Rh"], "fractional_positions": [[0.000, 0.000, 0.500], [0.000, 0.000, 0.000], [0.500, 0.500, 0.276], [0.500, 0.500, 0.724], [0.000, 0.500, 0.147], [0.500, 0.000, 0.147], [0.000, 0.500, 0.853], [0.500, 0.000, 0.853], [0.500, 0.500, 0.500]], "formation_energy_ev_per_atom": -0.48}

No. 3
{"formula": "LaPm7Nd2", "functional": "PBE-GGA", "state": "optimized geometry", "cell": [[6.291, 0.881, 0.402], [1.020, 9.252, -2.799], [0.730, -0.352, 6.294]], "species": ["La", "Pm", "Pm", "Pm", "Pm", "Pm", "Pm", "Pm", "Nd", "Nd"], "fractional_positions": [[0.000, 0.000, 0.000], [0.000, 0.799, 0.399], [0.000, 0.201, 0.601], [0.000, 0.599, 0.800], [0.000, 0.401, 0.200], [0.500, 0.899, 0.201], [0.500, 0.101, 0.799], [0.500, 0.500, 0.000], [0.501, 0.700, 0.600], [0.499, 0.300, 0.400]], "polymorph_energy_kj_per_mol_atoms": 0.00, "formation_energy_ev_per_atom": 0.02}

No. 4
{"formula": "Mn2BeP", "functional": "PBE-GGA", "state": "optimized geometry", "cell": [[4.221, -0.001, 0.004], [3.356, 2.561, 0.004], [1.044, 0.353, 3.726]], "species": ["P", "Mn", "Mn", "Be"], "fractional_positions": [[0.502, 0.502, 0.516], [0.996, 0.996, 0.047], [0.754, 0.754, 0.714], [0.247, 0.247, 0.223]], "polymorph_energy_kj_per_mol_atoms": 12.12, "formation_energy_ev_per_atom": -0.20}

No. 5
{"formula": "TiNiS2Cl", "functional": "PBE-GGA", "state": "optimized geometry", "cell": [[-4.254, -0.448, 1.338], [-0.750, -2.881, -3.351], [1.164, -3.317, 2.591]], "species": ["Ni", "S", "S", "Cl", "Ti"], "fractional_positions": [[0.000, 0.000, 0.000], [0.000, 0.500, 0.000], [0.500, 0.000, 0.000], [0.000, 0.000, 0.500], [0.500, 0.500, 0.500]], "polymorph_energy_kj_per_mol_atoms": 15.30, "formation_energy_uncorrected_kj_per_mol_atoms": 3}

No. 6
{"formula": "LiBi3I2O4", "functional": "PBE-GGA", "state": "optimized geometry", "cell": [[-2.255, 5.342, -4.547], [-1.258, -7.240, 0.551], [-4.402, 1.022, 3.384]], "species": ["Li", "Bi", "Bi", "Bi", "I", "I", "O", "O", "O", "O"], "fractional_positions": [[0.295, 0.705, 0.500], [0.836, 0.164, 0.000], [0.170, 0.830, 0.000], [0.668, 0.332, 0.500], [0.015, 0.985, 0.500], [0.505, 0.495, 0.000], [0.506, 0.001, 0.753], [0.999, 0.494, 0.247], [0.999, 0.494, 0.753], [0.506, 0.001, 0.247]], "formation_energy_uncorrected_kj_per_mol_atoms": -118}